Entry 1:
# meta-GGA SCAN BaLa2Ru, single point on PBEsol structure
data_BaLa2Ru
_cell_length_a 4.132
_cell_length_b 4.132
_cell_length_c 10.203
_cell_angle_alpha 101.70
_cell_angle_beta 90.00
_cell_angle_gamma 120.00
_symmetry_space_group_name_H-M 'P 1'
_symmetry_Int_Tables_number 1
_symmetry_space_group_name_Hall 'P 1'
loop_
_atom_site_label
_atom_site_type_symbol
_atom_site_fract_x
_atom_site_fract_y
_atom_site_fract_z
La1 La 0.284 0.568 0.352
La2 La 0.716 0.432 0.648
Ru1 Ru 0.000 0.000 0.500
Ba1 Ba 0.500 0.000 0.000
# VASP energy: -1.4817 hartree per atom
# V: 36.672 A^3/atom
# SG: R-3m (166)
# Distance to the lowest polymorph of the same formula: 0.000 eV per atom
# Total magnetic moment: 0.00 μB/f.u.
# Formation energy from the elements: -173 meV/atom

***

Entry 2:
# meta-GGA SCAN TaIr2IN, single point on PBEsol structure
data_TaIr2IN
_cell_length_a 3.792
_cell_length_b 4.886
_cell_length_c 4.886
_cell_angle_alpha 90.00
_cell_angle_beta 90.00
_cell_angle_gamma 90.00
_symmetry_space_group_name_H-M 'P 1'
_symmetry_Int_Tables_number 1
_symmetry_space_group_name_Hall 'P 1'
loop_
_atom_site_label
_atom_site_type_symbol
_atom_site_fract_x
_atom_site_fract_y
_atom_site_fract_z
N1 N 0.500 0.000 0.000
Ta1 Ta 0.500 0.500 0.500
I1 I 0.000 0.000 0.000
Ir1 Ir 0.000 0.500 0.000
Ir2 Ir 0.000 0.000 0.500
# VASP energy: -1.7915 hartree per atom
# V: 18.109 A^3/atom
# Raw formation energy: 2.214 eV/atom
# SG: P4/mmm (123)
# Total magnetic moment: 0.00 μB/f.u.

***

Entry 3:
# meta-GGA SCAN NaZr3Si, single point on PBEsol structure
data_NaZr3Si
_cell_length_a 5.023
_cell_length_b 5.023
_cell_length_c 5.023
_cell_angle_alpha 90.00
_cell_angle_beta 90.00
_cell_angle_gamma 90.00
_symmetry_space_group_name_H-M 'P 1'
_symmetry_Int_Tables_number 1
_symmetry_space_group_name_Hall 'P 1'
loop_
_atom_site_label
_atom_site_type_symbol
_atom_site_fract_x
_atom_site_fract_y
_atom_site_fract_z
Si1 Si 0.000 0.000 0.000
Zr1 Zr 0.500 0.000 0.000
Zr2 Zr 0.000 0.500 0.000
Zr3 Zr 0.000 0.000 0.500
Na1 Na 0.500 0.500 0.500
# VASP energy: -0.7683 hartree per atom
# V: 25.354 A^3/atom
# Raw formation energy: 0.358 eV/atom
# SG: Pm-3m (221)
# Total magnetic moment: 0.00 μB/f.u.

***

Entry 4:
# meta-GGA SCAN PmY3, single point on PBEsol structure
data_PmY3
_cell_length_a 4.981
_cell_length_b 4.981
_cell_length_c 6.091
_cell_angle_alpha 114.13
_cell_angle_beta 114.13
_cell_angle_gamma 90.00
_symmetry_space_group_name_H-M 'P 1'
_symmetry_Int_Tables_number 1
_symmetry_space_group_name_Hall 'P 1'
loop_
_atom_site_label
_atom_site_type_symbol
_atom_site_fract_x
_atom_site_fract_y
_atom_site_fract_z
Y1 Y 0.750 0.250 0.500
Y2 Y 0.500 0.500 0.000
Y3 Y 0.250 0.750 0.500
Pm1 Pm 0.000 0.000 0.000
# VASP energy: -1.1699 hartree per atom
# V: 30.824 A^3/atom
# SG: I4/mmm (139)
# Distance to the lowest polymorph of the same formula: 0.031 eV per atom
# Total magnetic moment: 0.00 μB/f.u.
# Formation energy from the elements: 43 meV/atom

***

The highest VASP energy belongs to which entry? NaZr3Si